# 1
## LiTlP2 (PBE)

Data for a relaxed structure of LiTlP2.

abc: 4.735 4.735 5.998
angles: 98.16 98.16 40.75
Sites, in units of the cell vectors:
Li 0.000 0.000 0.000
Tl 0.500 0.500 0.500
P 0.260 0.260 0.876
P 0.740 0.740 0.124

Calculated values
Density of states at the Fermi level (states/eV/cell): 1.3
Energy relative to the elements (meV/atom): -179
Total moment (Bohr magnetons per cell): 0.0
Space group: C2/m


# 2
## LiTlP2 (PBE)

Data for a relaxed structure of LiTlP2.

abc: 4.741 4.741 4.741
angles: 60.00 60.00 60.00
Sites, in units of the cell vectors:
Li 0.000 0.000 0.000
Tl 0.750 0.750 0.750
P 0.250 0.250 0.250
P 0.500 0.500 0.500

Calculated values
Density of states at the Fermi level (states/eV/cell): 3.0
Energy relative to the elements (meV/atom): 350
Total moment (Bohr magnetons per cell): 0.0
Space group: F-43m


# 3
## LiTlP (PBE)

Data for a relaxed structure of LiTlP.

abc: 4.644 4.644 4.644
angles: 60.00 60.00 60.00
Sites, in units of the cell vectors:
Li 0.000 0.000 0.000
Tl 0.500 0.500 0.500
P 0.250 0.250 0.250

Calculated values
Density of states at the Fermi level (states/eV/cell): 1.6
Energy relative to the elements (meV/atom): -79
Total moment (Bohr magnetons per cell): 0.0
Space group: F-43m


# 4
## LiTlP (PBE)

Data for a relaxed structure of LiTlP.

abc: 4.392 4.392 4.392
angles: 60.00 60.00 60.00
Sites, in units of the cell vectors:
Li 0.000 0.000 0.000
Tl 0.250 0.250 0.250
P 0.750 0.750 0.750

Calculated values
Density of states at the Fermi level (states/eV/cell): 1.4
Energy relative to the elements (meV/atom): -18
Total moment (Bohr magnetons per cell): 0.0
Space group: F-43m


# 5
## Li2TlP2 (PBE)

Data for a relaxed structure of Li2TlP2.

abc: 5.857 5.857 5.857
angles: 135.39 135.39 64.93
Sites, in units of the cell vectors:
Li 0.250 0.750 0.500
Li 0.750 0.250 0.500
Tl 0.000 0.000 0.000
P 0.392 0.392 0.000
P 0.608 0.608 0.000

Calculated values
Density of states at the Fermi level (states/eV/cell): 2.2
Energy relative to the elements (meV/atom): -307
Total moment (Bohr magnetons per cell): 0.0
Space group: I4/mmm


# 6
## LiTlP2 (PBE)

Data for a relaxed structure of LiTlP2.

abc: 2.826 2.826 9.376
angles: 90.00 90.00 90.00
Sites, in units of the cell vectors:
Li 0.000 0.000 0.000
Tl 0.000 0.000 0.500
P 0.500 0.500 0.197
P 0.500 0.500 0.803

Calculated values
Density of states at the Fermi level (states/eV/cell): 1.6
Energy relative to the elements (meV/atom): 184
Total moment (Bohr magnetons per cell): 0.0
Space group: P4/mmm


# 7
## LiTlP2 (PBE)

Data for a relaxed structure of LiTlP2.

abc: 5.824 5.824 5.824
angles: 142.85 141.44 54.62
Sites, in units of the cell vectors:
Li 0.000 0.000 0.000
Tl 0.500 0.500 0.000
P 0.246 0.746 0.500
P 0.754 0.254 0.500

Calculated values
Density of states at the Fermi level (states/eV/cell): 1.1
Energy relative to the elements (meV/atom): 190
Total moment (Bohr magnetons per cell): 0.0
Space group: Immm


# 8
## LiTl2P (PBE)

Data for a relaxed structure of LiTl2P.

abc: 5.117 5.117 5.117
angles: 60.00 60.00 60.00
Sites, in units of the cell vectors:
Li 0.000 0.000 0.000
Tl 0.250 0.250 0.250
Tl 0.750 0.750 0.750
P 0.500 0.500 0.500

Calculated values
Density of states at the Fermi level (states/eV/cell): 0.0
Energy relative to the elements (meV/atom): 62
Total moment (Bohr magnetons per cell): 0.0
Space group: Fm-3m


# 9
## LiTl2P (PBE)

Data for a relaxed structure of LiTl2P.

abc: 3.395 3.395 8.222
angles: 90.00 90.00 90.00
Sites, in units of the cell vectors:
Li 0.000 0.000 0.000
Tl 0.000 0.000 0.364
Tl 0.500 0.500 0.736
P 0.500 0.500 0.120

Calculated values
Density of states at the Fermi level (states/eV/cell): 1.2
Energy relative to the elements (meV/atom): -27
Total moment (Bohr magnetons per cell): 0.0
Space group: P4mm


# 10
## LiTl2P (PBE)

Data for a relaxed structure of LiTl2P.

abc: 5.040 5.040 5.462
angles: 108.29 108.29 46.74
Sites, in units of the cell vectors:
Li 0.000 0.000 0.000
Tl 0.234 0.234 0.740
Tl 0.766 0.766 0.260
P 0.500 0.500 0.500

Calculated values
Density of states at the Fermi level (states/eV/cell): 1.2
Energy relative to the elements (meV/atom): 53
Total moment (Bohr magnetons per cell): 0.0
Space group: C2/m


# 11
## LiTlP2 (PBE)

Data for a relaxed structure of LiTlP2.

abc: 5.203 5.203 5.203
angles: 132.47 132.47 69.49
Sites, in units of the cell vectors:
Li 0.000 0.000 0.000
Tl 0.750 0.250 0.500
P 0.250 0.750 0.500
P 0.500 0.500 0.000

Calculated values
Density of states at the Fermi level (states/eV/cell): 1.9
Energy relative to the elements (meV/atom): 294
Total moment (Bohr magnetons per cell): 0.0
Space group: I-4m2


# 12
## LiTlP3 (PBE)

Data for a relaxed structure of LiTlP3.

abc: 4.576 4.576 4.576
angles: 90.00 90.00 90.00
Sites, in units of the cell vectors:
Li 0.000 0.000 0.000
Tl 0.500 0.500 0.500
P 0.000 0.000 0.500
P 0.000 0.500 0.000
P 0.500 0.000 0.000

Calculated values
Density of states at the Fermi level (states/eV/cell): 4.4
Energy relative to the elements (meV/atom): 717
Total moment (Bohr magnetons per cell): 0.0
Space group: Pm-3m


Q: Which formula does entry 12 have?
A: LiTlP3


Q: Look up the density of states at the Fermi level of the seventh one.
A: 1.1 states/eV/cell


Q: Number 9 is which compound?
A: LiTl2P